Computed, not measured: a geometry-optimized LaMgCr3 structure at the PBE level of DFT.

Cell: 4.659 4.659 4.659 Å, 90.00 90.00 90.00°
Sites, in units of the cell vectors:
Cr1 0.000 0.500 0.000
Cr2 0.000 0.000 0.500
Cr3 0.500 0.000 0.000
Mg1 0.500 0.500 0.500
La1 0.000 0.000 0.000

ΔE to the lowest computed polymorph: 551 meV per atom
Raw total energy: -26.633 eV/cell
Space group: Pm-3m, No. 221
V: 20.23 Å³ per atom